Record 1
# ZnFe3S, relaxed, DFT GGA-PBE
data_ZnFe3S
_chemical_formula_sum 'Zn1 Fe3 S1'
_cell_length_a 4.445
_cell_length_b 4.445
_cell_length_c 4.445
_cell_angle_alpha 90.00
_cell_angle_beta 90.00
_cell_angle_gamma 90.00
_symmetry_space_group_name_H-M 'P m -3 m'
_symmetry_Int_Tables_number 221
_symmetry_space_group_name_Hall '-P 4 2 3'
loop_
_atom_site_label
_atom_site_type_symbol
_atom_site_fract_x
_atom_site_fract_y
_atom_site_fract_z
Zn1 Zn 0.000 0.000 0.000
Fe1 Fe 0.000 0.000 0.500
S1 S 0.500 0.500 0.500
# VASP energy: -24.659 eV/cell
# Formation energy (no corrections): 1.226 eV per atom
# D(E_F): 9.8 states/eV/f.u.

Record 2
# Zn4FeS5, relaxed, DFT GGA-PBE
data_Zn4FeS5
_chemical_formula_sum 'Zn12 Fe3 S15'
_cell_length_a 3.8323
_cell_length_b 3.8323
_cell_length_c 47.1467
_cell_angle_alpha 90.00
_cell_angle_beta 90.00
_cell_angle_gamma 120.00
_symmetry_space_group_name_H-M 'R 3 m'
_symmetry_Int_Tables_number 160
_symmetry_space_group_name_Hall 'R 3 -2"'
loop_
_atom_site_label
_atom_site_type_symbol
_atom_site_fract_x
_atom_site_fract_y
_atom_site_fract_z
Zn1 Zn 0.0000 0.0000 0.0000
Zn2 Zn 0.0000 0.0000 0.1997
Zn3 Zn 0.0000 0.0000 0.4002
Zn4 Zn 0.0000 0.0000 0.5999
Fe1 Fe 0.0000 0.0000 0.8004
S1 S 0.0000 0.0000 0.1496
S2 S 0.0000 0.0000 0.3502
S3 S 0.0000 0.0000 0.5500
S4 S 0.0000 0.0000 0.7508
S5 S 0.0000 0.0000 0.9501
# VASP energy: -122.495 eV/cell
# Formation energy (no corrections): -0.664 eV per atom
# D(E_F): 4.2 states/eV/f.u.

Record 3
# Zn3FeS, relaxed, DFT GGA-PBE
data_Zn3FeS
_chemical_formula_sum 'Zn3 Fe1 S1'
_cell_length_a 4.683
_cell_length_b 4.683
_cell_length_c 4.683
_cell_angle_alpha 90.00
_cell_angle_beta 90.00
_cell_angle_gamma 90.00
_symmetry_space_group_name_H-M 'P m -3 m'
_symmetry_Int_Tables_number 221
_symmetry_space_group_name_Hall '-P 4 2 3'
loop_
_atom_site_label
_atom_site_type_symbol
_atom_site_fract_x
_atom_site_fract_y
_atom_site_fract_z
Zn1 Zn 0.000 0.000 0.500
Fe1 Fe 0.000 0.000 0.000
S1 S 0.500 0.500 0.500
# VASP energy: -12.876 eV/cell
# Formation energy (no corrections): 0.707 eV per atom
# D(E_F): 4.5 states/eV/f.u.

Record 4
# Zn2Fe2S, relaxed, DFT GGA-PBE
data_Zn2Fe2S
_chemical_formula_sum 'Zn4 Fe4 S2'
_cell_length_a 5.640
_cell_length_b 5.640
_cell_length_c 4.113
_cell_angle_alpha 90.00
_cell_angle_beta 90.00
_cell_angle_gamma 90.00
_symmetry_space_group_name_H-M 'P 4/m b m'
_symmetry_Int_Tables_number 127
_symmetry_space_group_name_Hall '-P 4 2ab'
loop_
_atom_site_label
_atom_site_type_symbol
_atom_site_fract_x
_atom_site_fract_y
_atom_site_fract_z
Zn1 Zn 0.155 0.345 0.000
Fe1 Fe 0.155 0.655 0.500
S1 S 0.000 0.000 0.500
# VASP energy: -47.141 eV/cell
# Formation energy (no corrections): 0.006 eV per atom
# D(E_F): 4.4 states/eV/f.u.

Record 5
# ZrZnFeS2, relaxed, DFT GGA-PBE
data_ZrZnFeS2
_chemical_formula_sum 'Zr1 Zn1 Fe1 S2'
_cell_length_a 4.343
_cell_length_b 4.343
_cell_length_c 4.911
_cell_angle_alpha 90.00
_cell_angle_beta 90.00
_cell_angle_gamma 90.00
_symmetry_space_group_name_H-M 'P 4/m m m'
_symmetry_Int_Tables_number 123
_symmetry_space_group_name_Hall '-P 4 2'
loop_
_atom_site_label
_atom_site_type_symbol
_atom_site_fract_x
_atom_site_fract_y
_atom_site_fract_z
Zr1 Zr 0.000 0.000 0.000
Zn1 Zn 0.500 0.500 0.000
Fe1 Fe 0.000 0.000 0.500
S1 S 0.000 0.500 0.500
# VASP energy: -25.857 eV/cell
# Formation energy (no corrections): 0.137 eV per atom
# D(E_F): 4.9 states/eV/f.u.

Record 6
# ZrFeS2, relaxed, DFT GGA-PBE
data_ZrFeS2
_chemical_formula_sum 'Zr4 Fe4 S8'
_cell_length_a 5.417
_cell_length_b 5.417
_cell_length_c 10.363
_cell_angle_alpha 90.00
_cell_angle_beta 90.00
_cell_angle_gamma 90.00
_symmetry_space_group_name_H-M 'I -4 2 d'
_symmetry_Int_Tables_number 122
_symmetry_space_group_name_Hall 'I -4 2bw'
loop_
_atom_site_label
_atom_site_type_symbol
_atom_site_fract_x
_atom_site_fract_y
_atom_site_fract_z
Zr1 Zr 0.000 0.000 0.000
Fe1 Fe 0.000 0.000 0.500
S1 S 0.198 0.250 0.625
# VASP energy: -111.761 eV/cell
# Formation energy (no corrections): -0.669 eV per atom
# D(E_F): 3.6 states/eV/f.u.

Record 7
# ZrFeS3, relaxed, DFT GGA-PBE
data_ZrFeS3
_chemical_formula_sum 'Zr1 Fe1 S3'
_cell_length_a 4.390
_cell_length_b 4.390
_cell_length_c 4.390
_cell_angle_alpha 90.00
_cell_angle_beta 90.00
_cell_angle_gamma 90.00
_symmetry_space_group_name_H-M 'P m -3 m'
_symmetry_Int_Tables_number 221
_symmetry_space_group_name_Hall '-P 4 2 3'
loop_
_atom_site_label
_atom_site_type_symbol
_atom_site_fract_x
_atom_site_fract_y
_atom_site_fract_z
Zr1 Zr 0.000 0.000 0.000
Fe1 Fe 0.500 0.500 0.500
S1 S 0.000 0.500 0.500
# VASP energy: -30.484 eV/cell
# Formation energy (no corrections): -0.218 eV per atom
# D(E_F): 6.5 states/eV/f.u.

Record 8
# ZrFeS, relaxed, DFT GGA-PBE
data_ZrFeS
_chemical_formula_sum 'Zr6 Fe6 S6'
_cell_length_a 4.3209
_cell_length_b 4.3209
_cell_length_c 20.6515
_cell_angle_alpha 90.00
_cell_angle_beta 90.00
_cell_angle_gamma 120.00
_symmetry_space_group_name_H-M 'R -3 m'
_symmetry_Int_Tables_number 166
_symmetry_space_group_name_Hall '-R 3 2"'
loop_
_atom_site_label
_atom_site_type_symbol
_atom_site_fract_x
_atom_site_fract_y
_atom_site_fract_z
Zr1 Zr 0.0000 0.0000 0.2272
Fe1 Fe 0.0000 0.0000 0.3533
S1 S 0.0000 0.0000 0.0982
# VASP energy: -133.332 eV/cell
# Formation energy (no corrections): -0.361 eV per atom
# D(E_F): 1.7 states/eV/f.u.